# Pu2Tc3Mo PBE relaxed
data_Pu2Tc3Mo
_chemical_formula_sum 'Pu4 Tc6 Mo2'
_symmetry_space_group_name_H-M 'P 1'
_symmetry_Int_Tables_number 1
_symmetry_space_group_name_Hall 'P 1'
_cell_length_a 8.6049
_cell_length_b 5.8276
_cell_length_c 5.7330
_cell_angle_alpha 90.00
_cell_angle_beta 129.70
_cell_angle_gamma 90.00
loop_
_atom_site_label
_atom_site_fract_x
_atom_site_fract_y
_atom_site_fract_z
Pu1 0.1219 0.0000 0.3710
Pu2 0.3781 0.5000 0.6290
Pu3 0.6219 0.5000 0.3710
Pu4 0.8781 0.0000 0.6290
Tc1 0.0000 0.5000 0.5000
Tc2 0.2500 0.2500 0.0000
Tc3 0.2500 0.7500 0.0000
Tc4 0.5000 0.0000 0.5000
Tc5 0.7500 0.2500 0.0000
Tc6 0.7500 0.7500 0.0000
Mo1 0.0000 0.5000 0.0000
Mo2 0.5000 0.0000 0.0000
# M_tot   1.412 μB/atom
# Energy of formation from the pure elements   0.08 eV per atom
# DFT total energy   -140.25 eV/cell